Density functional theory data (PBE-GGA) for an optimized crystal structure of Cd2BiBPd.

POSCAR file:
```
Cd2BiBPd
1.0
-1.1426 4.3176 -3.5452
2.3594 -2.1427 -3.3700
-4.7746 -2.6335 -1.6684
B Bi Pd Cd
1 1 1 2
direct
0.0000 0.5000 0.0000 B
0.0000 0.0000 0.0000 Bi
0.5000 0.5000 0.5000 Pd
0.0000 0.0000 0.5000 Cd
0.5000 0.0000 0.0000 Cd
```

ΔH_f (0 K) ... 1397.2 meV/atom
DFT total energy ... -2.12 eV/atom
SG ... P4/mmm, No. 123